First-principles (PBE-GGA) data for a geometry-optimized ZnCo2Cu structure, as listed in Alexandria via LeMat-Bulk.

Cell: 4.752 4.812 2.477 Å, 80.58 79.07 116.42°
Last column: magnetic moment on the atom in μB.
Fractional positions:
Cu1 0.000 0.500 0.500  0.02
Co1 0.500 0.000 0.500  1.63
Co2 0.000 0.000 0.000  1.63
Zn1 0.500 0.500 0.000  -0.04

**Calculated density**: 8.58 g/cm3
**Total magnetic moment**: 0.79 μB per atom
**N(E_F)**: 3.64 states/eV/f.u.
**Energy**: -4.787 eV per atom
**Space group**: C2/m
**Energy relative to the elements**: 0.4 eV/f.u.